Entry 1:
11
Lattice="5.870 0.000 0.000 0.000 5.870 0.000 -2.935 -2.935 11.359" Properties=species:S:1:pos:R:3 comment="Na2Tl3Hg6 PBE-GGA optimized geometry" spacegroup=I4/mmm rho_kg_m3=7903 ef_ev_per_atom=0.04 pbc="T T T"
Hg 0.000 0.000 6.389
Hg 0.000 2.935 1.556
Hg 2.935 0.000 1.556
Hg 2.935 2.935 4.970
Hg 2.935 0.000 9.803
Hg 0.000 2.935 9.803
Tl 2.935 2.935 8.099
Tl 0.000 0.000 3.260
Tl 0.000 0.000 0.000
Na 2.935 2.935 1.942
Na 0.000 0.000 9.417

Entry 2:
4
Lattice="-8.470 3.394 0.473 -8.971 0.519 1.657 -7.939 2.834 3.525" Properties=species:S:1:pos:R:3 comment="Zr2ZnIr PBE-GGA optimized geometry" spacegroup=R3m rho_kg_m3=9504 ef_ev_per_atom=-0.11 pbc="T T T"
Zr -0.084 0.022 0.019
Zr -6.131 1.630 1.366
Zn -19.235 5.114 4.285
Ir -12.620 3.355 2.812

Entry 3:
5
Lattice="-1.148 0.299 5.265 -4.676 -2.548 -0.875 2.392 -4.659 0.786" Properties=species:S:1:pos:R:3 comment="TePI2F PBE-GGA optimized geometry" e_form_raw_ev_per_atom=0.25 spacegroup=P4/mmm rho_kg_m3=4644 e_above_lowest_polymorph_ev_per_atom=0.000 pbc="T T T"
Te 1.196 -2.329 0.393
I -2.338 -1.274 -0.438
I -0.574 0.149 2.632
P 0.000 0.000 0.000
F -1.716 -3.454 2.588

Entry 4:
18
Lattice="4.575 0.000 0.000 -2.287 10.189 0.000 0.000 0.000 13.943" Properties=species:S:1:pos:R:3 comment="Ba2PaTe5Au PBE-GGA optimized geometry" e_form_raw_ev_per_atom=-1.13 spacegroup=Cmc2_1 rho_kg_m3=6850 pbc="T T T"
Au 0.000 8.628 6.072
Au 2.287 1.561 13.044
Pa 2.287 6.202 7.188
Pa 0.000 3.987 0.217
Te 2.287 3.177 7.123
Te 2.287 4.191 12.079
Te 2.287 4.159 2.266
Te 0.000 7.012 0.151
Te 0.000 6.031 9.238
Te 2.287 0.035 10.719
Te 0.000 1.074 0.629
Te 0.000 5.998 5.107
Te 0.000 10.155 3.747
Te 2.287 9.116 7.601
Ba 0.000 2.348 4.514
Ba 0.000 2.353 9.701
Ba 2.287 7.837 2.729
Ba 2.287 7.842 11.485

Entry 5:
4
Lattice="3.219 0.005 0.000 -1.390 2.904 0.000 0.000 0.000 10.762" Properties=species:S:1:pos:R:3 comment="InTe2W PBE-GGA optimized geometry" e_form_raw_ev_per_atom=0.52 spacegroup=Cmmm rho_kg_m3=9135 pbc="T T T"
Te 0.000 0.000 0.514
Te 0.000 0.000 4.867
In 0.914 1.454 8.072
W 0.914 1.454 2.691

Entry 6:
4
Lattice="4.626 -0.890 -0.682 2.854 -0.756 3.734 1.733 -4.356 0.828" Properties=species:S:1:pos:R:3 comment="Zn2CdAs PBE-GGA optimized geometry" spacegroup=Fm-3m rho_kg_m3=6926 e_above_lowest_polymorph_ev_per_atom=0.119 ef_ev_per_atom=0.19 pbc="T T T"
Zn 2.303 -1.500 0.970
Zn 6.910 -4.501 2.910
As 0.000 0.000 0.000
Cd 4.607 -3.001 1.940